Here is a geometry-optimized Ca4Pm3SmTe8 structure from Alexandria. Energies are from PBE.

Cell and atoms, written as POSCAR:
```
Ca4Pm3SmTe8
1.0
4.4377 2.5621 7.4465
-4.4377 2.5621 7.4465
0.0000 -5.1242 7.4465
Ca Pm Sm Te
4 3 1 8
direct
0.0000 0.0000 0.0000
0.0000 0.5000 0.5000
0.5000 0.0000 0.5000
0.5000 0.5000 0.0000
0.0000 0.0000 0.5000
0.0000 0.5000 0.0000
0.5000 0.0000 0.0000
0.5000 0.5000 0.5000
0.2496 0.2496 0.7482
0.2496 0.7482 0.2496
0.2510 0.2510 0.2510
0.2518 0.7504 0.7504
0.7482 0.2496 0.2496
0.7490 0.7490 0.7490
0.7504 0.2518 0.7504
0.7504 0.7504 0.2518
```

Computed properties:
D(E_F): 6.13 states/eV/f.u.
Formation energy without anion corrections: -24.100 eV/f.u.